Material: La4Al2N
Method: DFT, GGA-PBE
State: relaxed

The value obtained for the offset from the most stable computed form is 0.0 meV per atom. The value obtained for the formation energy without anion corrections is -0.521 eV/atom. As for the size of the total moment: 0.000 μB per formula unit. The value obtained for the density of states at the Fermi level is 0.90 states/eV per atom.

It has space group I4/mmm (No. 139), with a = 5.063 Å, b = 5.063 Å, c = 15.839 Å, α = 90.00°, β = 90.00° and γ = 90.00°. The inequivalent atoms are La at (0.000, 0.000, 0.166), La at (0.000, 0.500, 0.000), Al at (0.000, 0.000, 0.369) and N at (0.000, 0.000, 0.000).

Material: AcPmZnIr
Method: DFT, GGA-PBE
State: relaxed

The calculation puts the formation energy at -405 meV/atom. As for the size of the total moment: 0.000 μB per formula unit. The value obtained for the density of states at the Fermi level is 0.29 states/eV per atom.

It has space group F-43m (No. 216), with a = 7.383 Å, b = 7.383 Å, c = 7.383 Å, α = 90.00°, β = 90.00° and γ = 90.00°. The inequivalent atoms are Ac at (0.000, 0.000, 0.000), Pm at (0.000, 0.000, 0.500), Zn at (0.250, 0.250, 0.250) and Ir at (0.250, 0.250, 0.750).

Material: Sr2InNi
Method: DFT, GGA-PBE
State: relaxed

The calculation puts the formation energy at -87 meV/atom. As for the size of the total moment: 0.000 μB per formula unit. The value obtained for the density of states at the Fermi level is 0.69 states/eV per atom.

It has space group P4/mmm (No. 123), with a = 3.695 Å, b = 3.695 Å, c = 8.458 Å, α = 90.00°, β = 90.00° and γ = 90.00°. The inequivalent atoms are Sr at (0.000, 0.000, 0.212), In at (0.500, 0.500, 0.500) and Ni at (0.500, 0.500, 0.000).

Material: SiP2Ru
Method: DFT, GGA-PBE
State: relaxed

The value obtained for the formation energy without anion corrections is -0.102 eV/atom. As for the size of the total moment: 0.000 μB per formula unit. The value obtained for the density of states at the Fermi level is 0.22 states/eV per atom.

It has space group Imm2 (No. 44), with a = 2.741 Å, b = 4.256 Å, c = 10.443 Å, α = 90.00°, β = 90.00° and γ = 90.00°. The inequivalent atoms are Si at (0.000, 0.000, 0.000), P at (0.000, 0.000, 0.250), P at (0.000, 0.500, 0.167) and Ru at (0.000, 0.000, 0.484).

Material: Ti7Pt2N2
Method: DFT, GGA-PBE
State: relaxed

The value obtained for the formation energy without anion corrections is -0.746 eV/atom. As for the size of the total moment: 0.001 μB per formula unit. The value obtained for the density of states at the Fermi level is 1.04 states/eV per atom.

It has space group Cmmm (No. 65), with a = 6.657 Å, b = 8.540 Å, c = 5.660 Å, α = 90.00°, β = 90.00° and γ = 90.00°. The inequivalent atoms are Ti at (0.000, 0.000, 0.000), Ti at (0.000, 0.500, 0.224), Ti at (0.250, 0.250, 0.231), Pt at (0.189, 0.000, 0.500) and N at (0.000, 0.273, 0.000).

Material: ScSnHg2
Method: DFT, GGA-PBE
State: relaxed

The calculation puts the formation energy at -133 meV/atom. As for the size of the total moment: 0.000 μB per formula unit. The value obtained for the density of states at the Fermi level is 0.83 states/eV per atom.

It has space group I-42d (No. 122), with a = 8.117 Å, b = 8.117 Å, c = 6.078 Å, α = 90.00°, β = 90.00° and γ = 90.00°. The inequivalent atoms are Sc at (0.000, 0.000, 0.000), Sn at (0.000, 0.000, 0.500) and Hg at (0.249, 0.250, 0.125).